(1)
DFT (PBE) results for crystalline CrSi2Ru at its relaxed geometry.

POSCAR file:
```
CrSi2Ru
1.0
-3.976 -0.889 -3.854
-4.075 -3.844 -0.268
2.644 4.090 2.781
Si Cr Ru
2 1 1
Cartesian
-2.410 0.576 -1.429 Si
-7.734 -4.546 -3.960 Si
-4.260 -2.504 -2.181 Cr
-3.081 -1.267 0.046 Ru
```

Summary:
Space group: Imm2, No. 44

(2)
DFT (PBE) results for crystalline LaCdCl at its relaxed geometry.

POSCAR file:
```
LaCdCl
1.0
-1.259 -4.787 0.343
3.176 -3.513 -1.481
2.215 -2.914 3.350
La Cl Cd
1 1 1
Cartesian
0.000 0.000 0.000 La
3.099 -8.411 1.658 Cl
2.066 -5.607 1.105 Cd
```

Summary:
Space group: F-43m, No. 216
Excess energy over the best structure of this formula in the dataset, eV/atom: 0.2318

(3)
DFT (PBE) results for crystalline RbLaCuBr6 at its relaxed geometry.

POSCAR file:
```
RbLaCuBr6
1.0
7.083 0.520 -0.171
3.976 6.750 -0.523
-0.164 -0.514 7.796
La Br Rb Cu
1 6 1 1
Cartesian
7.067 4.662 3.363 La
4.582 0.169 2.567 Br
5.697 2.509 4.956 Br
2.419 3.682 5.264 Br
1.793 2.212 2.126 Br
5.259 4.277 1.201 Br
2.467 -0.023 5.789 Br
6.608 0.263 7.610 Rb
3.546 2.008 3.850 Cu
```

Summary:
Space group: P1, No. 1

no.,formation energy from raw total energies (eV/atom),N(E_F) (states/eV per cell)
1,-0.29,2.5
2,-0.74,2.0
3,-1.34,0.1